<P>
Ac4IrPd2: relaxed, GGA-PBE.

Values from the calculation:
- SG = C2/m

Lattice parameters (Å, degrees): 8.249 8.249 7.576 116.90 116.90 31.43
Positions (direct):
1 Ac 0.120 0.120 0.276
2 Ac 0.372 0.372 0.194
3 Ac 0.628 0.628 0.806
4 Ac 0.880 0.880 0.724
5 Ir 0.500 0.500 0.000
6 Pd 0.244 0.244 0.743
7 Pd 0.756 0.756 0.257



<Q>
Ac4IrPd2: relaxed, GGA-PBE.

Values from the calculation:
- SG = Imma

Lattice parameters (Å, degrees): 8.391 8.391 8.391 110.77 110.28 107.39
Positions (direct):
1 Ac 0.195 0.244 0.549
2 Ac 0.195 0.646 0.951
3 Ac 0.245 0.196 0.049
4 Ac 0.353 0.804 0.549
5 Ac 0.647 0.196 0.451
6 Ac 0.755 0.804 0.951
7 Ac 0.805 0.354 0.049
8 Ac 0.805 0.756 0.451
9 Ir 0.121 0.871 0.250
10 Ir 0.879 0.129 0.750
11 Pd 0.000 0.500 0.500
12 Pd 0.500 0.000 0.000
13 Pd 0.500 0.500 0.000
14 Pd 0.500 0.500 0.500



<R>
Ac4IrPd2: relaxed, GGA-PBE.

Values from the calculation:
- SG = I4/mmm

Lattice parameters (Å, degrees): 8.413 8.413 8.413 139.49 139.49 58.63
Positions (direct):
1 Ac 0.000 0.500 0.500
2 Ac 0.202 0.202 0.000
3 Ac 0.500 0.000 0.500
4 Ac 0.798 0.798 0.000
5 Ir 0.000 0.000 0.000
6 Pd 0.399 0.399 0.000
7 Pd 0.601 0.601 0.000



Stability, lowest: <R>



<P>
Ac6Ir2Pd: relaxed, GGA-PBE.

Values from the calculation:
- SG = P-31m

Lattice parameters (Å, degrees): 7.644 7.644 7.041 90.00 90.00 120.00
Positions (direct):
1 Ac 0.000 0.342 0.274
2 Ac 0.000 0.658 0.726
3 Ac 0.342 0.000 0.274
4 Ac 0.342 0.342 0.726
5 Ac 0.658 0.000 0.726
6 Ac 0.658 0.658 0.274
7 Ir 0.333 0.667 0.500
8 Ir 0.667 0.333 0.500
9 Pd 0.000 0.000 0.500



<Q>
Ac6Ir2Pd: relaxed, GGA-PBE.

Values from the calculation:
- SG = C2/m

Lattice parameters (Å, degrees): 7.631 7.631 9.616 114.90 114.90 44.95
Positions (direct):
1 Ac 0.019 0.019 0.215
2 Ac 0.307 0.307 0.912
3 Ac 0.353 0.353 0.421
4 Ac 0.647 0.647 0.579
5 Ac 0.693 0.693 0.088
6 Ac 0.981 0.981 0.785
7 Ir 0.179 0.179 0.097
8 Ir 0.821 0.821 0.903
9 Pd 0.000 0.000 0.500



Stability, lowest: <Q>



<P>
Ac3IrPd2: relaxed, GGA-PBE.

Values from the calculation:
- SG = P2_1/c

Lattice parameters (Å, degrees): 6.185 13.057 8.809 90.00 90.01 90.00
Positions (direct):
1 Ac 0.249 0.249 0.375
2 Ac 0.249 0.251 0.875
3 Ac 0.250 0.577 0.861
4 Ac 0.250 0.579 0.387
5 Ac 0.250 0.921 0.887
6 Ac 0.250 0.923 0.361
7 Ac 0.750 0.077 0.639
8 Ac 0.750 0.079 0.113
9 Ac 0.750 0.421 0.613
10 Ac 0.750 0.423 0.139
11 Ac 0.751 0.749 0.125
12 Ac 0.751 0.751 0.625
13 Ir 0.250 0.088 0.126
14 Ir 0.250 0.412 0.626
15 Ir 0.750 0.588 0.374
16 Ir 0.750 0.912 0.874
17 Pd 0.250 0.082 0.625
18 Pd 0.250 0.418 0.125
19 Pd 0.251 0.743 0.124
20 Pd 0.251 0.757 0.624
21 Pd 0.749 0.243 0.376
22 Pd 0.749 0.257 0.876
23 Pd 0.750 0.582 0.875
24 Pd 0.750 0.918 0.375



<Q>
Ac3IrPd2: relaxed, GGA-PBE.

Values from the calculation:
- SG = C2/c

Lattice parameters (Å, degrees): 7.598 7.598 8.764 106.73 106.73 47.98
Positions (direct):
1 Ac 0.000 0.000 0.250
2 Ac 0.000 0.000 0.750
3 Ac 0.343 0.344 0.422
4 Ac 0.344 0.343 0.922
5 Ac 0.656 0.657 0.078
6 Ac 0.657 0.656 0.578
7 Ir 0.500 0.500 0.250
8 Ir 0.500 0.500 0.750
9 Pd 0.170 0.171 0.085
10 Pd 0.171 0.170 0.585
11 Pd 0.829 0.830 0.415
12 Pd 0.830 0.829 0.915



Stability, lowest: <P>